# 1
# Ru2CN

Crystalline Ru2CN at its relaxed geometry (GGA-PBE, Alexandria via LeMat-Bulk).

Output
Total magnetization (Bohr magnetons per cell): 0.00
Final energy (eV per formula unit): -34.627
Excess energy over the best structure of this formula in the dataset (eV/atom): 0.000
Raw formation energy (meV/atom): 369

Cell and atoms, written as extended XYZ:
```
8
Lattice="-2.318 2.318 4.428 2.318 -2.318 4.428 2.318 2.318 -4.428" Properties=species:S:1:pos:R:3 pbc="T T T"
Ru 1.159 -1.157 3.321
Ru 1.161 1.159 1.107
Ru 1.159 3.475 -1.107
Ru 1.157 1.159 5.535
C 0.000 0.000 0.000
C 0.000 2.318 2.214
N 2.318 0.000 2.214
N 0.000 0.000 4.428
```

# 2
# Ru2CN

Crystalline Ru2CN at its relaxed geometry (GGA-PBE, Alexandria via LeMat-Bulk).

Output
Total magnetization (Bohr magnetons per cell): 0.00
Final energy (eV per formula unit): -31.413
Excess energy over the best structure of this formula in the dataset (eV/atom): 0.803
Raw formation energy (meV/atom): 1172

Cell and atoms, written as extended XYZ:
```
4
Lattice="0.000 2.679 2.679 2.679 0.000 2.679 2.679 2.679 0.000" Properties=species:S:1:pos:R:3 pbc="T T T"
Ru 1.339 1.339 1.339
Ru 4.018 4.018 4.018
C 0.000 0.000 0.000
N 2.679 2.679 2.679
```

# 3
# RuCN2

Crystalline RuCN2 at its relaxed geometry (GGA-PBE, Alexandria via LeMat-Bulk).

Output
Total magnetization (Bohr magnetons per cell): 0.00
Final energy (eV per formula unit): -31.801
Raw formation energy (meV/atom): 837

Cell and atoms, written as extended XYZ:
```
8
Lattice="-2.147 2.147 3.548 2.147 -2.147 3.548 2.147 2.147 -3.548" Properties=species:S:1:pos:R:3 pbc="T T T"
Ru 0.000 0.000 0.000
Ru 0.000 2.147 1.774
C 2.147 0.000 1.774
C 0.000 0.000 3.548
N 1.073 -0.631 2.661
N 1.516 1.073 0.887
N 1.073 2.778 -0.887
N 0.631 1.073 4.435
```

# 4
# RuCS2N

Crystalline RuCS2N at its relaxed geometry (GGA-PBE, Alexandria via LeMat-Bulk).

Output
Total magnetization (Bohr magnetons per cell): 0.03
Final energy (eV per formula unit): -26.055
Excess energy over the best structure of this formula in the dataset (eV/atom): 0.636
Raw formation energy (meV/atom): 1805

Cell and atoms, written as extended XYZ:
```
5
Lattice="4.728 0.000 0.000 0.000 4.728 0.000 0.000 0.000 3.634" Properties=species:S:1:pos:R:3 pbc="T T T"
Ru 0.000 0.000 0.000
C 2.364 2.364 1.817
S 0.000 2.364 0.000
S 2.364 0.000 0.000
N 0.000 0.000 1.817
```

# 5
# RuCS2N

Crystalline RuCS2N at its relaxed geometry (GGA-PBE, Alexandria via LeMat-Bulk).

Output
Total magnetization (Bohr magnetons per cell): 0.49
Final energy (eV per formula unit): -29.235
Excess energy over the best structure of this formula in the dataset (eV/atom): 0.000
Raw formation energy (meV/atom): 1169

Cell and atoms, written as extended XYZ:
```
5
Lattice="5.409 0.000 0.000 0.000 5.409 0.000 0.000 0.000 2.433" Properties=species:S:1:pos:R:3 pbc="T T T"
Ru 0.000 0.000 0.000
C 2.705 2.705 1.217
S 0.000 2.705 1.217
S 2.705 0.000 1.217
N 2.705 2.705 0.000
```

# 6
# RuCSe2N

Crystalline RuCSe2N at its relaxed geometry (GGA-PBE, Alexandria via LeMat-Bulk).

Output
Total magnetization (Bohr magnetons per cell): 0.10
Final energy (eV per formula unit): -25.375
Excess energy over the best structure of this formula in the dataset (eV/atom): 0.614
Raw formation energy (meV/atom): 1684

Cell and atoms, written as extended XYZ:
```
5
Lattice="4.985 0.000 0.000 0.000 4.985 0.000 0.000 0.000 3.625" Properties=species:S:1:pos:R:3 pbc="T T T"
Ru 0.000 0.000 0.000
C 2.493 2.493 1.813
Se 0.000 2.493 0.000
Se 2.493 0.000 0.000
N 0.000 0.000 1.813
```

# 7
# RuCSe2N

Crystalline RuCSe2N at its relaxed geometry (GGA-PBE, Alexandria via LeMat-Bulk).

Output
Total magnetization (Bohr magnetons per cell): 0.00
Final energy (eV per formula unit): -28.447
Excess energy over the best structure of this formula in the dataset (eV/atom): 0.000
Raw formation energy (meV/atom): 1069

Cell and atoms, written as extended XYZ:
```
5
Lattice="5.745 0.000 0.000 0.000 5.745 0.000 0.000 0.000 2.464" Properties=species:S:1:pos:R:3 pbc="T T T"
Ru 0.000 0.000 0.000
C 2.872 2.872 1.232
Se 0.000 2.872 1.232
Se 2.872 0.000 1.232
N 2.872 2.872 0.000
```

# 8
# RuCSeN2

Crystalline RuCSeN2 at its relaxed geometry (GGA-PBE, Alexandria via LeMat-Bulk).

Output
Total magnetization (Bohr magnetons per cell): 0.00
Final energy (eV per formula unit): -27.167
Excess energy over the best structure of this formula in the dataset (eV/atom): 0.451
Raw formation energy (meV/atom): 2294

Cell and atoms, written as extended XYZ:
```
5
Lattice="3.607 0.000 0.000 0.000 3.607 0.000 0.000 0.000 4.000" Properties=species:S:1:pos:R:3 pbc="T T T"
Ru 0.000 0.000 0.000
C 1.803 1.803 2.000
Se 1.803 1.803 0.000
N 0.000 1.803 2.000
N 1.803 0.000 2.000
```

# 9
# RuCSeN2

Crystalline RuCSeN2 at its relaxed geometry (GGA-PBE, Alexandria via LeMat-Bulk).

Output
Total magnetization (Bohr magnetons per cell): 1.11
Final energy (eV per formula unit): -29.421
Excess energy over the best structure of this formula in the dataset (eV/atom): 0.000
Raw formation energy (meV/atom): 1843

Cell and atoms, written as extended XYZ:
```
5
Lattice="3.691 0.000 0.000 0.000 3.691 0.000 0.000 0.000 5.511" Properties=species:S:1:pos:R:3 pbc="T T T"
Ru 0.000 0.000 0.000
C 1.845 1.845 2.756
Se 0.000 0.000 2.756
N 0.000 1.845 0.000
N 1.845 0.000 0.000
```

# 10
# TeRuCN2

Crystalline TeRuCN2 at its relaxed geometry (GGA-PBE, Alexandria via LeMat-Bulk).

Output
Total magnetization (Bohr magnetons per cell): 1.29
Final energy (eV per formula unit): -30.016
Excess energy over the best structure of this formula in the dataset (eV/atom): 0.000
Raw formation energy (meV/atom): 1655

Cell and atoms, written as extended XYZ:
```
5
Lattice="3.696 0.000 0.000 0.000 3.696 0.000 0.000 0.000 5.824" Properties=species:S:1:pos:R:3 pbc="T T T"
Te 0.000 0.000 0.000
Ru 0.000 0.000 2.912
C 1.848 1.848 0.000
N 0.000 1.848 2.912
N 1.848 0.000 2.912
```

# 11
# TeRuCN2

Crystalline TeRuCN2 at its relaxed geometry (GGA-PBE, Alexandria via LeMat-Bulk).

Output
Total magnetization (Bohr magnetons per cell): 0.00
Final energy (eV per formula unit): -26.038
Excess energy over the best structure of this formula in the dataset (eV/atom): 0.795
Raw formation energy (meV/atom): 2451

Cell and atoms, written as extended XYZ:
```
5
Lattice="3.741 0.000 0.000 0.000 3.741 0.000 0.000 0.000 4.259" Properties=species:S:1:pos:R:3 pbc="T T T"
Te 0.000 0.000 0.000
Ru 1.870 1.870 0.000
C 0.000 0.000 2.130
N 0.000 1.870 2.130
N 1.870 0.000 2.130
```

# 12
# Ti2RuCN

Crystalline Ti2RuCN at its relaxed geometry (GGA-PBE, Alexandria via LeMat-Bulk).

Output
Total magnetization (Bohr magnetons per cell): 0.00
Final energy (eV per formula unit): -39.923
Raw formation energy (meV/atom): 538

Cell and atoms, written as extended XYZ:
```
5
Lattice="4.396 0.000 0.000 0.000 4.396 0.000 0.000 0.000 3.088" Properties=species:S:1:pos:R:3 pbc="T T T"
Ti 0.000 2.198 0.000
Ti 2.198 0.000 0.000
Ru 0.000 0.000 1.544
C 2.198 2.198 0.000
N 2.198 2.198 1.544
```

# 13
# SbCSN2

Crystalline SbCSN2 at its relaxed geometry (GGA-PBE, Alexandria via LeMat-Bulk).

Output
Total magnetization (Bohr magnetons per cell): 1.56
Final energy (eV per formula unit): -21.215
Excess energy over the best structure of this formula in the dataset (eV/atom): 0.581
Raw formation energy (meV/atom): 2582

Cell and atoms, written as extended XYZ:
```
5
Lattice="3.917 0.000 0.000 0.000 3.917 0.000 0.000 0.000 5.424" Properties=species:S:1:pos:R:3 pbc="T T T"
Sb 0.000 0.000 0.000
C 1.959 1.959 2.712
S 0.000 0.000 2.712
N 0.000 1.959 0.000
N 1.959 0.000 0.000
```

# 14
# SbCSN2

Crystalline SbCSN2 at its relaxed geometry (GGA-PBE, Alexandria via LeMat-Bulk).

Output
Total magnetization (Bohr magnetons per cell): 0.00
Final energy (eV per formula unit): -24.121
Excess energy over the best structure of this formula in the dataset (eV/atom): 0.000
Raw formation energy (meV/atom): 2001

Cell and atoms, written as extended XYZ:
```
5
Lattice="3.781 0.000 0.000 0.000 3.781 0.000 0.000 0.000 3.833" Properties=species:S:1:pos:R:3 pbc="T T T"
Sb 0.000 0.000 0.000
C 1.891 1.891 1.916
S 1.891 1.891 0.000
N 0.000 1.891 1.916
N 1.891 0.000 1.916
```

# 15
# ScCS2N

Crystalline ScCS2N at its relaxed geometry (GGA-PBE, Alexandria via LeMat-Bulk).

Output
Total magnetization (Bohr magnetons per cell): 0.00
Final energy (eV per formula unit): -28.708
Excess energy over the best structure of this formula in the dataset (eV/atom): 0.000
Raw formation energy (meV/atom): 686

Cell and atoms, written as extended XYZ:
```
5
Lattice="4.573 0.000 0.000 0.000 4.573 0.000 0.000 0.000 3.054" Properties=species:S:1:pos:R:3 pbc="T T T"
Sc 0.000 0.000 0.000
C 2.286 2.286 1.527
S 0.000 2.286 1.527
S 2.286 0.000 1.527
N 2.286 2.286 0.000
```

# 16
# ScCS2N

Crystalline ScCS2N at its relaxed geometry (GGA-PBE, Alexandria via LeMat-Bulk).

Output
Total magnetization (Bohr magnetons per cell): 2.00
Final energy (eV per formula unit): -24.346
Excess energy over the best structure of this formula in the dataset (eV/atom): 0.872
Raw formation energy (meV/atom): 1558

Cell and atoms, written as extended XYZ:
```
5
Lattice="4.995 0.000 0.000 0.000 4.995 0.000 0.000 0.000 4.172" Properties=species:S:1:pos:R:3 pbc="T T T"
Sc 0.000 0.000 0.000
C 2.497 2.497 2.086
S 0.000 2.497 0.000
S 2.497 0.000 0.000
N 0.000 0.000 2.086
```

# 17
# Sc6CS3N2

Crystalline Sc6CS3N2 at its relaxed geometry (GGA-PBE, Alexandria via LeMat-Bulk).

Output
Total magnetization (Bohr magnetons per cell): 0.00
Final energy (eV per formula unit): -96.802
Raw formation energy (meV/atom): -1713

Cell and atoms, written as extended XYZ:
```
12
Lattice="2.949 -5.109 0.000 2.949 5.109 0.000 -1.960 0.000 5.856" Properties=species:S:1:pos:R:3 pbc="T T T"
Sc 0.005 1.703 4.648
Sc 0.983 0.000 1.206
Sc 0.005 -1.703 4.648
Sc 3.932 1.703 1.208
Sc 2.954 0.000 4.650
Sc 3.932 -1.703 1.208
C 2.949 0.000 0.000
S -0.980 0.000 2.928
S 1.968 1.701 2.928
S 1.968 -1.701 2.928
N 2.949 3.407 0.000
N 2.949 -3.407 0.000
```

# 18
# Sc6C2S2N

Crystalline Sc6C2S2N at its relaxed geometry (GGA-PBE, Alexandria via LeMat-Bulk).

Output
Total magnetization (Bohr magnetons per cell): 0.00
Final energy (eV per formula unit): -87.631
Raw formation energy (meV/atom): -1328

Cell and atoms, written as extended XYZ:
```
11
Lattice="2.936 -5.065 0.000 2.936 5.065 0.000 -1.963 0.000 5.862" Properties=species:S:1:pos:R:3 pbc="T T T"
Sc 0.970 1.692 1.223
Sc -0.029 0.000 4.667
Sc 0.970 -1.692 1.223
Sc 2.938 1.692 4.639
Sc 3.937 0.000 1.196
Sc 2.938 -1.692 4.639
C 2.936 1.704 0.000
C 2.936 -1.704 0.000
S 1.954 3.379 2.931
S 1.954 -3.379 2.931
N 0.000 0.000 0.000
```

# 19
# Sc8CS3N3

Crystalline Sc8CS3N3 at its relaxed geometry (GGA-PBE, Alexandria via LeMat-Bulk).

Output
Total magnetization (Bohr magnetons per cell): 0.00
Final energy (eV per formula unit): -121.656
Raw formation energy (meV/atom): -1628

Cell and atoms, written as extended XYZ:
```
15
Lattice="5.819 -3.363 0.000 5.819 3.363 0.000 -3.880 0.000 5.824" Properties=species:S:1:pos:R:3 pbc="T T T"
Sc 0.000 0.000 4.079
Sc 2.905 1.689 4.127
Sc 1.932 0.000 1.697
Sc 4.853 1.689 1.697
Sc 2.905 -1.689 4.127
Sc 5.826 0.000 4.127
Sc 4.853 -1.689 1.697
Sc 7.757 0.000 1.745
C 3.879 0.000 2.912
S 2.909 1.682 0.000
S 2.909 -1.682 0.000
S 5.819 0.000 0.000
N -1.940 0.000 2.912
N 0.969 1.682 2.912
N 0.969 -1.682 2.912
```

# 20
# Sc8CS4N3

Crystalline Sc8CS4N3 at its relaxed geometry (GGA-PBE, Alexandria via LeMat-Bulk).

Output
Total magnetization (Bohr magnetons per cell): 0.00
Final energy (eV per formula unit): -129.408
Raw formation energy (meV/atom): -1753

Cell and atoms, written as extended XYZ:
```
16
Lattice="3.401 1.963 5.849 -3.401 1.963 5.849 0.000 -3.927 5.849" Properties=species:S:1:pos:R:3 pbc="T T T"
Sc 0.000 0.000 4.119
Sc -1.696 -0.979 9.980
Sc 0.000 -1.959 7.567
Sc -1.696 0.979 7.567
Sc 1.696 -0.979 9.980
Sc 0.000 1.959 9.980
Sc 1.696 0.979 7.567
Sc 0.000 0.000 13.428
C 0.000 0.000 8.773
S 0.000 0.000 0.000
S -1.700 -0.982 5.849
S -1.700 0.982 11.698
S 0.000 1.963 5.849
N -3.401 0.000 8.773
N -1.700 0.982 2.924
N 1.700 0.982 2.924
```